Entry 1:
Computed, not measured: a relaxed Rb2UCu2Te4 crystal at the PBE level of DFT.

Output
Energy relative to the elements, uncorrected: -0.671 eV/atom
Density: 5.97 Mg/m³
DOS at the Fermi energy: 0.50 states/eV per atom
Spin magnetization: 2.0 μB/f.u.

Geometry as POSCAR:
```
Rb2UCu2Te4
1.0
-2.191 2.705 2.720
3.273 -4.213 6.827
6.070 4.647 -3.318
Rb U Cu Te
2 1 2 4
Direct
0.137 0.565 0.274
0.863 0.435 0.726
0.000 0.000 0.000
0.676 0.986 0.352
0.324 0.014 0.648
0.199 0.167 0.398
0.801 0.833 0.602
0.519 0.765 0.038
0.481 0.235 0.962
```

Entry 2:
Computed, not measured: a relaxed KPuMnTe3 crystal at the PBE level of DFT.

Output
Energy relative to the elements, uncorrected: -0.779 eV/atom
Density: 5.53 Mg/m³
DOS at the Fermi energy: 2.32 states/eV per atom
Spin magnetization: 9.7 μB/f.u.

Geometry as POSCAR:
```
KPuMnTe3
1.0
4.521 0.000 0.000
0.000 9.640 0.344
0.000 -3.440 9.808
K Pu Mn Te
2 2 2 6
Direct
0.750 0.794 0.763
0.250 0.206 0.237
0.250 0.672 0.145
0.750 0.328 0.855
0.250 0.085 0.601
0.750 0.915 0.399
0.250 0.788 0.469
0.750 0.896 0.138
0.750 0.461 0.166
0.750 0.212 0.531
0.250 0.539 0.834
0.250 0.104 0.862
```

Entry 3:
Computed, not measured: a relaxed SrLa3Bi4 crystal at the PBE level of DFT.

Output
E_form: -952 meV per atom
Density: 7.39 Mg/m³
DOS at the Fermi energy: 0.78 states/eV per atom
Spin magnetization: 0.0 μB/f.u.

Geometry as POSCAR:
```
SrLa3Bi4
1.0
-6.312 0.329 5.232
2.860 -7.687 -0.384
5.996 1.876 7.116
Sr Bi La
2 8 6
Direct
0.750 0.000 0.876
0.250 0.000 0.124
0.004 0.252 0.620
0.499 0.259 0.870
0.504 0.252 0.380
0.999 0.259 0.130
0.001 0.741 0.870
0.496 0.748 0.620
0.501 0.741 0.130
0.996 0.748 0.380
0.750 0.000 0.374
0.250 0.000 0.626
0.750 0.500 0.626
0.750 0.500 0.124
0.250 0.500 0.374
0.250 0.500 0.876
```

Entry 4:
Computed, not measured: a relaxed Sm5Dy12Ho crystal at the PBE level of DFT.

Output
E_form: 91 meV per atom
Density: 8.25 Mg/m³
DOS at the Fermi energy: 1.52 states/eV per atom
Spin magnetization: 0.0 μB/f.u.

Geometry as POSCAR:
```
Sm5Dy12Ho
1.0
-11.332 -1.054 -3.156
-5.668 -8.631 1.138
-1.610 1.743 5.199
Sm Dy Ho
5 12 1
Direct
0.500 0.000 0.500
0.136 0.728 0.500
0.864 0.272 0.500
0.638 0.724 0.000
0.362 0.276 0.000
0.801 0.000 0.498
0.199 0.000 0.502
0.702 0.000 0.998
0.298 0.000 0.002
0.333 0.642 0.000
0.025 0.642 0.000
0.975 0.358 0.000
0.667 0.358 0.000
0.473 0.359 0.500
0.833 0.641 0.500
0.167 0.359 0.500
0.527 0.641 0.500
0.000 0.000 0.000
```

Entry 5:
Computed, not measured: a relaxed DySn2Hg crystal at the PBE level of DFT.

Output
E_form: 151 meV per atom
Density: 5.74 Mg/m³
DOS at the Fermi energy: 0.91 states/eV per atom
Spin magnetization: 0.0 μB/f.u.

Geometry as POSCAR:
```
DySn2Hg
1.0
5.099 0.000 0.000
2.549 4.416 0.000
2.549 1.472 7.710
Hg Sn Dy
1 2 1
Direct
0.000 0.000 0.000
0.124 0.124 0.627
0.876 0.876 0.373
0.500 0.500 0.500
```

Entry 6:
Computed, not measured: a relaxed ScCuPt2 crystal at the PBE level of DFT.

Output
E_form: -222 meV per atom
Density: 12.78 Mg/m³
DOS at the Fermi energy: 0.50 states/eV per atom
Spin magnetization: 0.0 μB/f.u.

Geometry as POSCAR:
```
ScCuPt2
1.0
-0.615 3.706 -8.141
-3.343 2.721 -7.862
-2.606 5.307 -6.740
Cu Pt Sc
1 2 1
Direct
0.750 0.750 0.750
0.005 0.005 0.005
0.247 0.247 0.247
0.499 0.499 0.499
```

Entry 7:
Computed, not measured: a relaxed SmErPbAu crystal at the PBE level of DFT.

Output
E_form: -597 meV per atom
Density: 11.43 Mg/m³
DOS at the Fermi energy: 0.91 states/eV per atom
Spin magnetization: 0.7 μB/f.u.

Geometry as POSCAR:
```
SmErPbAu
1.0
5.293 0.000 0.000
2.646 4.584 0.000
2.646 1.528 4.322
Pb Au Sm Er
1 1 1 1
Direct
0.500 0.500 0.500
0.000 0.000 0.000
0.750 0.750 0.750
0.250 0.250 0.250
```

Entry 8:
Computed, not measured: a relaxed NdPuCuS4 crystal at the PBE level of DFT.

Output
Energy relative to the elements, uncorrected: -1.348 eV/atom
Density: 6.70 Mg/m³
DOS at the Fermi energy: 1.53 states/eV per atom
Spin magnetization: 5.2 μB/f.u.

Geometry as POSCAR:
```
NdPuCuS4
1.0
-6.340 -1.581 1.711
0.233 -4.491 -3.286
4.798 -3.605 5.266
Nd Pu Cu S
2 2 2 8
Direct
0.731 0.750 0.933
0.269 0.250 0.067
0.740 0.750 0.438
0.260 0.250 0.562
0.249 0.750 0.314
0.751 0.250 0.686
0.017 0.514 0.751
0.983 0.014 0.249
0.983 0.486 0.249
0.017 0.986 0.751
0.430 0.750 0.114
0.570 0.250 0.886
0.426 0.750 0.602
0.574 0.250 0.398
```

Question: Look up the DOS at the Fermi energy of the first one.
Answer: 0.50 states/eV per atom